Record 1
Density functional theory data (GGA-PBE) for a relaxed structure of Ca3U2As6Pd.

a b c (Å): 7.0014 7.0014 7.2844
angles (deg): 99.19 99.19 119.97
Sites, in units of the cell vectors:
1 Pd 0.0000 0.0000 0.0000
2 Ca 0.1669 0.8331 0.5000
3 Ca 0.8331 0.1669 0.5000
4 Ca 0.5000 0.5000 0.5000
5 U 0.3334 0.6666 0.0000
6 U 0.6666 0.3334 0.0000
7 As 0.0748 0.4024 0.2251
8 As 0.2514 0.2514 0.7734
9 As 0.9252 0.5976 0.7749
10 As 0.7486 0.7486 0.2266
11 As 0.4024 0.0748 0.2251
12 As 0.5976 0.9252 0.7749

Values from the calculation:
**Electronic total energy**: -5.925 eV per atom
**D(E_F)**: 1.130 states/eV/atom

---

Record 2
Density functional theory data (GGA-PBE) for a relaxed structure of Ca2UAs3Pd4.

a b c (Å): 4.2164 4.2164 11.6912
angles (deg): 90.00 90.00 90.00
Sites, in units of the cell vectors:
1 Pd 0.5000 0.0000 0.6619
2 Pd 0.5000 0.5000 0.0000
3 Pd 0.0000 0.0000 0.0000
4 Pd 0.0000 0.5000 0.3381
5 As 0.5000 0.0000 0.8729
6 As 0.0000 0.0000 0.5000
7 As 0.0000 0.5000 0.1271
8 Ca 0.0000 0.5000 0.7859
9 Ca 0.5000 0.0000 0.2141
10 U 0.5000 0.5000 0.5000

Values from the calculation:
**Electronic total energy**: -5.679 eV per atom
**D(E_F)**: 0.964 states/eV/atom

---

Record 3
Density functional theory data (GGA-PBE) for a relaxed structure of Ca3ZnAs2Pd9.

a b c (Å): 6.0317 6.0317 10.2980
angles (deg): 90.00 90.00 120.00
Sites, in units of the cell vectors:
1 Ca 0.3333 0.6667 0.7210
2 Ca 0.6667 0.3333 0.2790
3 Ca 0.0000 0.0000 0.0000
4 As 0.3333 0.6667 0.1657
5 As 0.6667 0.3333 0.8343
6 Pd 0.0000 0.5000 0.0000
7 Pd 0.7016 0.8508 0.3001
8 Pd 0.2984 0.1492 0.6999
9 Pd 0.8508 0.7016 0.6999
10 Pd 0.8508 0.1492 0.6999
11 Pd 0.1492 0.2984 0.3001
12 Pd 0.5000 0.5000 0.0000
13 Pd 0.5000 0.0000 0.0000
14 Pd 0.1492 0.8508 0.3001
15 Zn 0.0000 0.0000 0.5000

Values from the calculation:
**Electronic total energy**: -4.715 eV per atom
**D(E_F)**: 0.281 states/eV/atom

---

Record 4
Density functional theory data (GGA-PBE) for a relaxed structure of Ca2ZnAs3Pd4.

a b c (Å): 4.2922 4.2922 10.4441
angles (deg): 90.00 90.00 90.00
Sites, in units of the cell vectors:
1 As 0.0000 0.0000 0.5000
2 As 0.0000 0.5000 0.1340
3 As 0.5000 0.0000 0.8660
4 Pd 0.5000 0.5000 0.0000
5 Pd 0.0000 0.5000 0.3679
6 Pd 0.5000 0.0000 0.6321
7 Pd 0.0000 0.0000 0.0000
8 Ca 0.0000 0.5000 0.7560
9 Ca 0.5000 0.0000 0.2440
10 Zn 0.5000 0.5000 0.5000

Values from the calculation:
**Electronic total energy**: -4.726 eV per atom
**D(E_F)**: 0.506 states/eV/atom

---

no.,formation enthalpy at 0 K (eV/atom)
1,-0.7859
2,-0.6780
3,-0.4942
4,-0.7268